# Zn2CrAu, relaxed, DFT GGA-PBE
data_Zn2CrAu
_chemical_formula_sum 'Zn4 Cr2 Au2'
_cell_length_a 8.927
_cell_length_b 2.984
_cell_length_c 4.835
_cell_angle_alpha 90.00
_cell_angle_beta 101.46
_cell_angle_gamma 90.00
_symmetry_space_group_name_H-M 'C 1 2/m 1'
_symmetry_Int_Tables_number 12
loop_
_symmetry_equiv_pos_as_xyz
'x,y,z'
'-x,-y,-z'
'-x,y,-z'
'x,-y,z'
'x+1/2,y+1/2,z'
'-x+1/2,-y+1/2,-z'
'-x+1/2,y+1/2,-z'
'x+1/2,-y+1/2,z'
loop_
_atom_site_label
_atom_site_fract_x
_atom_site_fract_y
_atom_site_fract_z
_atom_site_occupancy
Zn1 0.248 0.000 0.243 1
Cr1 0.000 0.500 0.000 1
Au1 0.000 0.000 0.500 1
# Total DFT energy (no corrections)   -0.1398 hartree per atom
# Size of the total moment   7.24 μB/cell